A relaxed TlFeBr4 crystal. Source: OQMD, functional PBE-GGA. Values from VASP.

* final energy: -3.5360 eV per atom
* theoretical density: 4.58 g/cm3

Cell and atoms, written as Quantum ESPRESSO input:
```
&SYSTEM
  ibrav = 0, nat = 24, ntyp = 3
/
ATOMIC_SPECIES
Br 79.90 Br.upf
Fe 55.84 Fe.upf
Tl 204.38 Tl.upf
ATOMIC_POSITIONS crystal
Br 0.330 0.177 0.055
Br 0.170 0.823 0.055
Br 0.012 0.455 0.184
Br 0.488 0.545 0.184
Br 0.012 0.045 0.316
Br 0.488 0.955 0.316
Br 0.330 0.323 0.445
Br 0.170 0.677 0.445
Br 0.830 0.323 0.555
Br 0.670 0.677 0.555
Br 0.512 0.045 0.684
Br 0.988 0.955 0.684
Br 0.512 0.455 0.816
Br 0.988 0.545 0.816
Br 0.830 0.177 0.945
Br 0.670 0.823 0.945
Fe 0.250 0.000 0.183
Fe 0.250 0.500 0.317
Fe 0.750 0.500 0.683
Fe 0.750 0.000 0.817
Tl 0.670 0.250 0.250
Tl 0.830 0.750 0.250
Tl 0.170 0.250 0.750
Tl 0.330 0.750 0.750
CELL_PARAMETERS angstrom
-6.510 -3.092 3.032
-2.928 -3.112 -9.461
4.936 -8.991 1.429
```

***

A relaxed SmGeAuSe3 crystal. Source: OQMD, functional PBE-GGA. Values from VASP.

* final energy: -4.5881 eV per atom
* theoretical density: 7.49 g/cm3

Cell and atoms, written as Quantum ESPRESSO input:
```
&SYSTEM
  ibrav = 0, nat = 12, ntyp = 4
/
ATOMIC_SPECIES
Au 196.97 Au.upf
Ge 72.64 Ge.upf
Se 78.96 Se.upf
Sm 150.36 Sm.upf
ATOMIC_POSITIONS crystal
Au 0.474 0.474 0.250
Au 0.526 0.526 0.750
Ge 0.788 0.788 0.250
Ge 0.212 0.212 0.750
Se 0.347 0.347 0.066
Se 0.105 0.105 0.250
Se 0.347 0.347 0.434
Se 0.653 0.653 0.566
Se 0.895 0.895 0.750
Se 0.653 0.653 0.934
Sm 0.000 0.000 0.000
Sm 0.000 0.000 0.500
CELL_PARAMETERS angstrom
6.774 -1.991 0.000
6.774 1.991 0.000
0.000 0.000 10.793
```

***

A relaxed TcNiHgBi crystal. Source: OQMD, functional PBE-GGA. Values from VASP.

* theoretical density: 12.05 g/cm3
* polymorph energy (0 for the lowest one): 236 meV per atom

Cell and atoms, written as Quantum ESPRESSO input:
```
&SYSTEM
  ibrav = 0, nat = 4, ntyp = 4
/
ATOMIC_SPECIES
Bi 208.98 Bi.upf
Hg 200.59 Hg.upf
Ni 58.69 Ni.upf
Tc 98.00 Tc.upf
ATOMIC_POSITIONS crystal
Bi 0.000 0.000 0.000
Hg 0.250 0.250 0.250
Ni 0.750 0.750 0.750
Tc 0.500 0.500 0.500
CELL_PARAMETERS angstrom
0.000 3.392 3.392
3.392 0.000 3.392
3.392 3.392 0.000
```

***

A relaxed NaDyCoTe3 crystal. Source: OQMD, functional PBE-GGA. Values from VASP.

* theoretical density: 5.87 g/cm3
* polymorph energy (0 for the lowest one): 0 meV per atom

Cell and atoms, written as Quantum ESPRESSO input:
```
&SYSTEM
  ibrav = 0, nat = 12, ntyp = 4
/
ATOMIC_SPECIES
Co 58.93 Co.upf
Dy 162.50 Dy.upf
Na 22.99 Na.upf
Te 127.60 Te.upf
ATOMIC_POSITIONS crystal
Co 0.421 0.750 0.417
Co 0.579 0.250 0.583
Dy 0.174 0.250 0.151
Dy 0.826 0.750 0.849
Na 0.692 0.250 0.212
Na 0.308 0.750 0.788
Te 0.416 0.750 0.150
Te 0.938 0.750 0.177
Te 0.295 0.250 0.484
Te 0.705 0.750 0.516
Te 0.062 0.250 0.823
Te 0.584 0.250 0.850
CELL_PARAMETERS angstrom
9.091 0.000 0.000
0.000 4.178 0.000
-2.647 0.000 9.336
```